# TbSi2TcNi

A relaxed TbSi2TcNi crystal (PBE-GGA, the Open Quantum Materials Database).

Results
* magnetization: 0.000 μB per atom
* symmetry: I-4m2
* E: -7.040 eV/atom

a b c (Å): 5.731 5.731 5.731
angles (deg): 138.77 138.77 59.73
Fractional positions:
Tb 0.000 0.000 0.000
Si 0.375 0.375 0.000
Si 0.625 0.625 0.000
Tc 0.750 0.250 0.500
Ni 0.250 0.750 0.500